No. 1
## RbTi2Sb2 (PBE)

Data for an optimized crystal structure of RbTi2Sb2.

E_form (uncorrected): -0.341 eV per atom

a b c (Å): 4.5030 4.5030 15.1387
angles (deg): 90.00 90.00 90.00
Last column: nearest neighbours and their distance in Å.
Space group I4/mmm (No. 139)
Unique sites:
Rb 0.0000 0.0000 0.0000  8 Sb 3.87
Ti 0.0000 0.5000 0.2500  4 Sb 2.75
Sb 0.0000 0.0000 0.3547  4 Ti 2.75

No. 2
## RbTi2Sb2 (PBE)

Data for an optimized crystal structure of RbTi2Sb2.

E_form (uncorrected): -0.126 eV per atom

a b c (Å): 8.7340 8.7340 3.1569
angles (deg): 90.00 90.00 90.00
Last column: nearest neighbours and their distance in Å.
Space group P4/mbm (No. 127)
Unique sites:
Rb 0.0000 0.0000 0.0000  2 Rb 3.16
Ti 0.1098 0.3902 0.0000  1 Ti 2.71, 4 Sb 2.94
Sb 0.1678 0.6678 0.5000  6 Ti 2.94-3.17, 2 Sb 3.16

No. 3
## RbTiSb2 (PBE)

Data for an optimized crystal structure of RbTiSb2.

E_form (uncorrected): -0.173 eV per atom

a b c (Å): 6.6314 6.6314 16.2010
angles (deg): 90.00 90.00 90.00
Last column: nearest neighbours and their distance in Å.
Space group I4_1/amd (No. 141, origin choice 2)
Unique sites:
Rb 0.0000 0.2500 0.3750  8 Sb 4.22, 4 Ti 4.69
Ti 0.0000 0.2500 0.8750  4 Sb 2.62
Sb 0.0000 0.0000 0.0000  2 Ti 2.62

No. 4
## RbTiSb2 (PBE)

Data for an optimized crystal structure of RbTiSb2.

E_form (uncorrected): -0.274 eV per atom

a b c (Å): 4.2094 4.2094 25.2005
angles (deg): 90.00 90.00 120.00
Last column: nearest neighbours and their distance in Å.
Space group R3m (No. 160, hexagonal axes)
Unique sites:
Rb 0.0000 0.0000 0.0000  6 Sb 3.66-3.73
Ti 0.0000 0.0000 0.1691  6 Sb 2.81-2.82
Sb 0.0000 0.0000 0.5582  3 Ti 2.81
Sb 0.0000 0.0000 0.7789  3 Ti 2.82

No. 5
## RbTiSb2 (PBE)

Data for an optimized crystal structure of RbTiSb2.

E_form (uncorrected): -0.271 eV per atom

a b c (Å): 3.5220 3.5220 9.0027
angles (deg): 90.00 90.00 90.00
Last column: nearest neighbours and their distance in Å.
Space group P4/mmm (No. 123)
Unique sites:
Rb 0.0000 0.0000 0.0000  4 Rb 3.52, 8 Sb 3.79
Ti 0.0000 0.0000 0.5000  8 Sb 2.98
Sb 0.5000 0.5000 0.3175  4 Ti 2.98, 1 Sb 3.29

No. 6
## RbTiSb3 (PBE)

Data for an optimized crystal structure of RbTiSb3.

E_form (uncorrected): 1.787 eV per atom

a b c (Å): 5.7900 5.7900 5.7900
angles (deg): 90.00 90.00 90.00
Last column: nearest neighbours and their distance in Å.
Space group Pm-3m (No. 221)
Unique sites:
Rb 0.0000 0.0000 0.0000  6 Sb 2.89
Ti 0.5000 0.5000 0.5000  12 Sb 4.09
Sb 0.0000 0.0000 0.5000  2 Rb 2.89

No. 7
## Rb2TiSb (PBE)

Data for an optimized crystal structure of Rb2TiSb.

E_form (uncorrected): 0.264 eV per atom

a b c (Å): 13.7098 13.7098 5.3770
angles (deg): 90.00 90.00 90.00
Last column: nearest neighbours and their distance in Å.
Space group I-42d (No. 122)
Unique sites:
Rb 0.0770 0.2500 0.1250  2 Sb 3.65
Ti 0.0000 0.0000 0.5000  2 Sb 2.69
Sb 0.0000 0.0000 0.0000  2 Ti 2.69

No. 8
## RbTiSb2 (PBE)

Data for an optimized crystal structure of RbTiSb2.

E_form (uncorrected): -0.282 eV per atom

a b c (Å): 4.2276 4.2276 24.8733
angles (deg): 90.00 90.00 120.00
Last column: nearest neighbours and their distance in Å.
Space group R-3m (No. 166, hexagonal axes)
Unique sites:
Rb 0.0000 0.0000 0.0000  6 Sb 3.67
Ti 0.0000 0.0000 0.5000  6 Sb 2.81
Sb 0.0000 0.0000 0.2230  3 Ti 2.81

Q: What is the formula in the second record?
A: RbTi2Sb2